# LaCe3C | Alexandria via LeMat-Bulk | PBE | optimized geometry
# - raw total energy (eV per cell) = -32.0
# - density (g cm⁻³) = 7.4
data_LaCe3C
_chemical_formula_sum 'La1 Ce3 C1'
_cell_length_a 5.038
_cell_length_b 5.038
_cell_length_c 5.038
_cell_angle_alpha 90.00
_cell_angle_beta 90.00
_cell_angle_gamma 90.00
_symmetry_space_group_name_H-M 'P m -3 m'
_symmetry_Int_Tables_number 221
_symmetry_space_group_name_Hall '-P 4 2 3'
loop_
_atom_site_label
_atom_site_fract_x
_atom_site_fract_y
_atom_site_fract_z
La1 0.000 0.000 0.000
Ce1 0.000 0.500 0.500
C1 0.500 0.500 0.500

# LaCeC | Alexandria via LeMat-Bulk | PBE | optimized geometry
# - raw total energy (eV per cell) = -78.8
# - density (g cm⁻³) = 7.8
data_LaCeC
_chemical_formula_sum 'La4 Ce4 C4'
_cell_length_a 6.274
_cell_length_b 6.274
_cell_length_c 6.274
_cell_angle_alpha 90.00
_cell_angle_beta 90.00
_cell_angle_gamma 90.00
_symmetry_space_group_name_H-M 'F -4 3 m'
_symmetry_Int_Tables_number 216
_symmetry_space_group_name_Hall 'F -4 2 3'
loop_
_atom_site_label
_atom_site_fract_x
_atom_site_fract_y
_atom_site_fract_z
La1 0.000 0.000 0.000
Ce1 0.000 0.000 0.500
C1 0.250 0.250 0.250

# LaCeC | Alexandria via LeMat-Bulk | PBE | optimized geometry
# - raw total energy (eV per cell) = -316.6
# - density (g cm⁻³) = 7.3
data_LaCeC
_chemical_formula_sum 'La16 Ce16 C16'
_cell_length_a 8.041
_cell_length_b 10.979
_cell_length_c 11.963
_cell_angle_alpha 90.00
_cell_angle_beta 90.00
_cell_angle_gamma 90.00
_symmetry_space_group_name_H-M 'F d d d'
_symmetry_Int_Tables_number 70
loop_
_symmetry_equiv_pos_as_xyz
'x,y,z'
'-x,-y,-z'
'-x+1/4,-y+1/4,z'
'x+1/4,y+1/4,-z'
'x,-y+1/4,-z+1/4'
'-x,y+1/4,z+1/4'
'-x+1/4,y,-z+1/4'
'x+1/4,-y,z+1/4'
'x,y+1/2,z+1/2'
'-x,-y+1/2,-z+1/2'
'-x+1/4,-y+3/4,z+1/2'
'x+1/4,y+3/4,-z+1/2'
'x,-y+3/4,-z+3/4'
'-x,y+3/4,z+3/4'
'-x+1/4,y+1/2,-z+3/4'
'x+1/4,-y+1/2,z+3/4'
'x+1/2,y,z+1/2'
'-x+1/2,-y,-z+1/2'
'-x+3/4,-y+1/4,z+1/2'
'x+3/4,y+1/4,-z+1/2'
'x+1/2,-y+1/4,-z+3/4'
'-x+1/2,y+1/4,z+3/4'
'-x+3/4,y,-z+3/4'
'x+3/4,-y,z+3/4'
'x+1/2,y+1/2,z'
'-x+1/2,-y+1/2,-z'
'-x+3/4,-y+3/4,z'
'x+3/4,y+3/4,-z'
'x+1/2,-y+3/4,-z+1/4'
'-x+1/2,y+3/4,z+1/4'
'-x+3/4,y+1/2,-z+1/4'
'x+3/4,-y+1/2,z+1/4'
loop_
_atom_site_label
_atom_site_fract_x
_atom_site_fract_y
_atom_site_fract_z
La1 0.000 0.000 0.000
Ce1 0.125 0.125 0.507
C1 0.125 0.319 0.625

# LaCeC2 | Alexandria via LeMat-Bulk | PBE | optimized geometry
# - raw total energy (eV per cell) = -58.7
# - density (g cm⁻³) = 6.1
data_LaCeC2
_chemical_formula_sum 'La2 Ce2 C4'
_cell_length_a 4.204
_cell_length_b 5.701
_cell_length_c 6.844
_cell_angle_alpha 90.00
_cell_angle_beta 90.00
_cell_angle_gamma 90.00
_symmetry_space_group_name_H-M 'A m m 2'
_symmetry_Int_Tables_number 38
loop_
_symmetry_equiv_pos_as_xyz
'x,y,z'
'-x,-y,z'
'-x,y,z'
'x,-y,z'
'x,y+1/2,z+1/2'
'-x,-y+1/2,z+1/2'
'-x,y+1/2,z+1/2'
'x,-y+1/2,z+1/2'
loop_
_atom_site_label
_atom_site_fract_x
_atom_site_fract_y
_atom_site_fract_z
La1 0.000 0.000 0.000
Ce1 0.500 0.000 0.451
C1 0.500 0.125 0.795

# LaCe2C | Alexandria via LeMat-Bulk | PBE | optimized geometry
# - raw total energy (eV per cell) = -79.0
# - density (g cm⁻³) = 7.1
data_LaCe2C
_chemical_formula_sum 'La3 Ce6 C3'
_cell_length_a 3.5834
_cell_length_b 3.5834
_cell_length_c 27.2293
_cell_angle_alpha 90.00
_cell_angle_beta 90.00
_cell_angle_gamma 120.00
_symmetry_space_group_name_H-M 'R 3 m'
_symmetry_Int_Tables_number 160
_symmetry_space_group_name_Hall 'R 3 -2"'
loop_
_atom_site_label
_atom_site_fract_x
_atom_site_fract_y
_atom_site_fract_z
La1 0.0000 0.0000 0.0000
Ce1 0.0000 0.0000 0.5478
Ce2 0.0000 0.0000 0.7766
C1 0.0000 0.0000 0.1635

# La3CeC | Alexandria via LeMat-Bulk | PBE | optimized geometry
# - raw total energy (eV per cell) = -29.1
# - density (g cm⁻³) = 6.3
data_La3CeC
_chemical_formula_sum 'La3 Ce1 C1'
_cell_length_a 5.311
_cell_length_b 5.311
_cell_length_c 5.311
_cell_angle_alpha 90.00
_cell_angle_beta 90.00
_cell_angle_gamma 90.00
_symmetry_space_group_name_H-M 'P m -3 m'
_symmetry_Int_Tables_number 221
_symmetry_space_group_name_Hall '-P 4 2 3'
loop_
_atom_site_label
_atom_site_fract_x
_atom_site_fract_y
_atom_site_fract_z
La1 0.000 0.000 0.500
Ce1 0.500 0.500 0.500
C1 0.000 0.000 0.000

# LaCeCO | Alexandria via LeMat-Bulk | PBE | optimized geometry
# - formation energy without anion corrections (meV per atom) = -1517
# - density (g cm⁻³) = 7.2
data_LaCeCO
_chemical_formula_sum 'La3 Ce3 C3 O3'
_cell_length_a 3.6971
_cell_length_b 3.6971
_cell_length_c 17.9490
_cell_angle_alpha 90.00
_cell_angle_beta 90.00
_cell_angle_gamma 120.00
_symmetry_space_group_name_H-M 'R 3 m'
_symmetry_Int_Tables_number 160
_symmetry_space_group_name_Hall 'R 3 -2"'
loop_
_atom_site_label
_atom_site_fract_x
_atom_site_fract_y
_atom_site_fract_z
La1 0.0000 0.0000 0.0000
Ce1 0.0000 0.0000 0.5008
C1 0.0000 0.0000 0.2408
O1 0.0000 0.0000 0.7557

# La2CePbC | Alexandria via LeMat-Bulk | PBE | optimized geometry
# - raw total energy (eV per cell) = -30.7
# - density (g cm⁻³) = 7.7
data_La2CePbC
_chemical_formula_sum 'La2 Ce1 Pb1 C1'
_cell_length_a 5.253
_cell_length_b 5.253
_cell_length_c 4.978
_cell_angle_alpha 90.00
_cell_angle_beta 90.00
_cell_angle_gamma 90.00
_symmetry_space_group_name_H-M 'P 4/m m m'
_symmetry_Int_Tables_number 123
_symmetry_space_group_name_Hall '-P 4 2'
loop_
_atom_site_label
_atom_site_fract_x
_atom_site_fract_y
_atom_site_fract_z
La1 0.000 0.500 0.000
Ce1 0.000 0.000 0.500
Pb1 0.500 0.500 0.500
C1 0.000 0.000 0.000

# LaCeCS | Alexandria via LeMat-Bulk | PBE | optimized geometry
# - formation energy without anion corrections (meV per atom) = -956
# - density (g cm⁻³) = 6.1
data_LaCeCS
_chemical_formula_sum 'La1 Ce1 C1 S1'
_cell_length_a 3.952
_cell_length_b 3.952
_cell_length_c 5.617
_cell_angle_alpha 90.00
_cell_angle_beta 90.00
_cell_angle_gamma 90.00
_symmetry_space_group_name_H-M 'P 4/m m m'
_symmetry_Int_Tables_number 123
_symmetry_space_group_name_Hall '-P 4 2'
loop_
_atom_site_label
_atom_site_fract_x
_atom_site_fract_y
_atom_site_fract_z
La1 0.000 0.000 0.000
Ce1 0.500 0.500 0.500
C1 0.000 0.000 0.500
S1 0.500 0.500 0.000

# La2CeSnC | Alexandria via LeMat-Bulk | PBE | optimized geometry
# - raw total energy (eV per cell) = -31.4
# - density (g cm⁻³) = 6.7
data_La2CeSnC
_chemical_formula_sum 'La2 Ce1 Sn1 C1'
_cell_length_a 5.226
_cell_length_b 5.226
_cell_length_c 4.953
_cell_angle_alpha 90.00
_cell_angle_beta 90.00
_cell_angle_gamma 90.00
_symmetry_space_group_name_H-M 'P 4/m m m'
_symmetry_Int_Tables_number 123
_symmetry_space_group_name_Hall '-P 4 2'
loop_
_atom_site_label
_atom_site_fract_x
_atom_site_fract_y
_atom_site_fract_z
La1 0.000 0.500 0.000
Ce1 0.000 0.000 0.500
Sn1 0.500 0.500 0.500
C1 0.000 0.000 0.000

# La2CeTlC | Alexandria via LeMat-Bulk | PBE | optimized geometry
# - raw total energy (eV per cell) = -28.8
# - density (g cm⁻³) = 7.7
data_La2CeTlC
_chemical_formula_sum 'La2 Ce1 Tl1 C1'
_cell_length_a 5.263
_cell_length_b 5.263
_cell_length_c 4.950
_cell_angle_alpha 90.00
_cell_angle_beta 90.00
_cell_angle_gamma 90.00
_symmetry_space_group_name_H-M 'P 4/m m m'
_symmetry_Int_Tables_number 123
_symmetry_space_group_name_Hall '-P 4 2'
loop_
_atom_site_label
_atom_site_fract_x
_atom_site_fract_y
_atom_site_fract_z
La1 0.000 0.500 0.000
Ce1 0.000 0.000 0.500
Tl1 0.500 0.500 0.500
C1 0.000 0.000 0.000

# LaCe2TlC | Alexandria via LeMat-Bulk | PBE | optimized geometry
# - raw total energy (eV per cell) = -29.7
# - density (g cm⁻³) = 8.1
data_LaCe2TlC
_chemical_formula_sum 'La1 Ce2 Tl1 C1'
_cell_length_a 4.989
_cell_length_b 4.989
_cell_length_c 5.258
_cell_angle_alpha 90.00
_cell_angle_beta 90.00
_cell_angle_gamma 90.00
_symmetry_space_group_name_H-M 'P 4/m m m'
_symmetry_Int_Tables_number 123
_symmetry_space_group_name_Hall '-P 4 2'
loop_
_atom_site_label
_atom_site_fract_x
_atom_site_fract_y
_atom_site_fract_z
La1 0.000 0.000 0.000
Ce1 0.000 0.500 0.500
Tl1 0.500 0.500 0.000
C1 0.000 0.000 0.500